Density functional theory data (GGA-PBE) for crystalline Th2Al3Pd2 at its relaxed geometry.

Unit cell a=5.648 b=5.648 c=6.958 alpha=112.65 beta=112.65 gamma=46.06
Fractional coordinates of all 7 atoms:
1 Th 0.146 0.146 0.279
2 Th 0.854 0.854 0.721
3 Al 0.385 0.385 0.068
4 Al 0.500 0.500 0.500
5 Al 0.615 0.615 0.932
6 Pd 0.143 0.143 0.728
7 Pd 0.857 0.857 0.272

Properties
Volume, Å³/f.u.: 145.1
Raw total energy, eV per cell: -41.43
Fermi-level density of states, states/eV per cell: 4.52